1.
## Nb2ZnH2 (PBE-GGA)

Data for a relaxed structure of Nb2ZnH2. Values from VASP.

Calculated values
The value obtained for the density of states at the Fermi level is 1.3 states/eV per cell.

Cell and atoms, written as Quantum ESPRESSO input:
```
&SYSTEM
  ibrav = 0, nat = 5, ntyp = 3
/
ATOMIC_SPECIES
Nb 92.91 Nb.upf
Zn 65.41 Zn.upf
H 1.01 H.upf
CELL_PARAMETERS angstrom
-1.7985 1.7985 4.4387
1.7985 -1.7985 4.4387
1.7985 1.7985 -4.4387
ATOMIC_POSITIONS crystal
Nb 0.1629 0.1629 0.0000
Nb 0.8371 0.8371 0.0000
Zn 0.5000 0.5000 0.0000
H 0.2500 0.7500 0.5000
H 0.7500 0.2500 0.5000
```



2.
## Nb2ZnH (PBE-GGA)

Data for a relaxed structure of Nb2ZnH. Values from VASP.

Calculated values
Its energy above the lowest structure with this stoichiometry is 561 meV/atom. The value obtained for the density of states at the Fermi level is 2.8 states/eV per cell.

Cell and atoms, written as Quantum ESPRESSO input:
```
&SYSTEM
  ibrav = 0, nat = 4, ntyp = 3
/
ATOMIC_SPECIES
Nb 92.91 Nb.upf
Zn 65.41 Zn.upf
H 1.01 H.upf
CELL_PARAMETERS angstrom
0.0000 3.0539 3.0539
3.0539 0.0000 3.0539
3.0539 3.0539 0.0000
ATOMIC_POSITIONS crystal
Nb 0.2500 0.2500 0.2500
Nb 0.7500 0.7500 0.7500
Zn 0.0000 0.0000 0.0000
H 0.5000 0.5000 0.5000
```



3.
## Nb2ZnH (PBE-GGA)

Data for a relaxed structure of Nb2ZnH. Values from VASP.

Calculated values
Its energy above the lowest structure with this stoichiometry is 180 meV/atom. The value obtained for the density of states at the Fermi level is 2.0 states/eV per cell.

Cell and atoms, written as Quantum ESPRESSO input:
```
&SYSTEM
  ibrav = 0, nat = 4, ntyp = 3
/
ATOMIC_SPECIES
Nb 92.91 Nb.upf
Zn 65.41 Zn.upf
H 1.01 H.upf
CELL_PARAMETERS angstrom
1.6473 0.9511 6.1102
-1.6473 0.9511 6.1102
0.0000 -1.9022 6.1102
ATOMIC_POSITIONS crystal
Nb 0.2202 0.2202 0.2202
Nb 0.7798 0.7798 0.7798
Zn 0.0000 0.0000 0.0000
H 0.5000 0.5000 0.5000
```



4.
## Zr2NbZnH (PBE-GGA)

Data for a relaxed structure of Zr2NbZnH. Values from VASP.

Calculated values
Its energy above the lowest structure with this stoichiometry is 86 meV/atom. The value obtained for the density of states at the Fermi level is 4.9 states/eV per cell.

Cell and atoms, written as Quantum ESPRESSO input:
```
&SYSTEM
  ibrav = 0, nat = 5, ntyp = 4
/
ATOMIC_SPECIES
Zr 91.22 Zr.upf
Nb 92.91 Nb.upf
Zn 65.41 Zn.upf
H 1.01 H.upf
CELL_PARAMETERS angstrom
4.5247 0.0000 0.0000
0.0000 4.5247 0.0000
0.0000 0.0000 3.8730
ATOMIC_POSITIONS crystal
Zr 0.0000 0.5000 0.0000
Zr 0.5000 0.0000 0.0000
Nb 0.0000 0.0000 0.5000
Zn 0.5000 0.5000 0.5000
H 0.5000 0.5000 0.0000
```



5.
## ZrNbZnH2 (PBE-GGA)

Data for a relaxed structure of ZrNbZnH2. Values from VASP.

Calculated values
The value obtained for the density of states at the Fermi level is 2.6 states/eV per cell.

Cell and atoms, written as Quantum ESPRESSO input:
```
&SYSTEM
  ibrav = 0, nat = 5, ntyp = 4
/
ATOMIC_SPECIES
Zr 91.22 Zr.upf
Nb 92.91 Nb.upf
Zn 65.41 Zn.upf
H 1.01 H.upf
CELL_PARAMETERS angstrom
3.7656 0.0000 0.0000
0.0000 3.7656 0.0000
0.0000 0.0000 4.9928
ATOMIC_POSITIONS crystal
Zr 0.0000 0.0000 0.0000
Nb 0.5000 0.5000 0.5000
Zn 0.5000 0.5000 0.0000
H 0.0000 0.5000 0.5000
H 0.5000 0.0000 0.5000
```



6.
## Zr2NbZnH (PBE-GGA)

Data for a relaxed structure of Zr2NbZnH. Values from VASP.

Calculated values
Its energy above the lowest structure with this stoichiometry is 0 meV/atom. The value obtained for the density of states at the Fermi level is 5.4 states/eV per cell.

Cell and atoms, written as Quantum ESPRESSO input:
```
&SYSTEM
  ibrav = 0, nat = 5, ntyp = 4
/
ATOMIC_SPECIES
Zr 91.22 Zr.upf
Nb 92.91 Nb.upf
Zn 65.41 Zn.upf
H 1.01 H.upf
CELL_PARAMETERS angstrom
4.4658 0.0000 0.0000
0.0000 4.4658 0.0000
0.0000 0.0000 4.0336
ATOMIC_POSITIONS crystal
Zr 0.0000 0.5000 0.0000
Zr 0.5000 0.0000 0.0000
Nb 0.0000 0.0000 0.5000
Zn 0.5000 0.5000 0.5000
H 0.0000 0.0000 0.0000
```



7.
## ZrNb2H (PBE-GGA)

Data for a relaxed structure of ZrNb2H. Values from VASP.

Calculated values
Its energy above the lowest structure with this stoichiometry is 136 meV/atom. The value obtained for the density of states at the Fermi level is 3.0 states/eV per cell.

Cell and atoms, written as Quantum ESPRESSO input:
```
&SYSTEM
  ibrav = 0, nat = 4, ntyp = 3
/
ATOMIC_SPECIES
Zr 91.22 Zr.upf
Nb 92.91 Nb.upf
H 1.01 H.upf
CELL_PARAMETERS angstrom
1.4769 0.8527 8.3825
-1.4769 0.8527 8.3825
0.0000 -1.7054 8.3825
ATOMIC_POSITIONS crystal
Zr 0.0000 0.0000 0.0000
Nb 0.1138 0.1138 0.1138
Nb 0.8862 0.8862 0.8862
H 0.5000 0.5000 0.5000
```



8.
## ZrNbH (PBE-GGA)

Data for a relaxed structure of ZrNbH. Values from VASP.

Calculated values
The value obtained for the density of states at the Fermi level is 5.5 states/eV per cell.

Cell and atoms, written as Quantum ESPRESSO input:
```
&SYSTEM
  ibrav = 0, nat = 6, ntyp = 3
/
ATOMIC_SPECIES
Zr 91.22 Zr.upf
Nb 92.91 Nb.upf
H 1.01 H.upf
CELL_PARAMETERS angstrom
3.1257 0.0000 0.0000
0.0202 4.5745 0.0000
1.3206 0.0091 6.0379
ATOMIC_POSITIONS crystal
Zr 0.1397 0.2488 0.1450
Zr 0.8603 0.7512 0.8550
Nb 0.4104 0.7488 0.3888
Nb 0.5896 0.2512 0.6112
H 0.0132 0.7462 0.1743
H 0.9868 0.2538 0.8257
```



9.
## Zr2NbH6 (PBE-GGA)

Data for a relaxed structure of Zr2NbH6. Values from VASP.

Calculated values
Its energy above the lowest structure with this stoichiometry is 160 meV/atom. The value obtained for the density of states at the Fermi level is 5.1 states/eV per cell.

Cell and atoms, written as Quantum ESPRESSO input:
```
&SYSTEM
  ibrav = 0, nat = 18, ntyp = 3
/
ATOMIC_SPECIES
Zr 91.22 Zr.upf
Nb 92.91 Nb.upf
H 1.01 H.upf
CELL_PARAMETERS angstrom
5.1945 0.0000 0.0000
0.0000 4.6916 0.0000
-4.6295 0.0000 6.9497
ATOMIC_POSITIONS crystal
Zr 0.2337 0.0028 0.2420
Zr 0.2337 0.4972 0.7420
Zr 0.7663 0.5028 0.2580
Zr 0.7663 0.9972 0.7580
Nb 0.5000 0.0000 0.0000
Nb 0.5000 0.5000 0.5000
H 0.1672 0.2450 0.4383
H 0.1672 0.2550 0.9383
H 0.1693 0.7421 0.9374
H 0.1693 0.7579 0.4374
H 0.3346 0.0165 0.7308
H 0.3346 0.4835 0.2308
H 0.6654 0.5165 0.7692
H 0.6654 0.9835 0.2692
H 0.8307 0.2421 0.5626
H 0.8307 0.2579 0.0626
H 0.8328 0.7450 0.0617
H 0.8328 0.7550 0.5617
```



10.
## ZrNb2H8 (PBE-GGA)

Data for a relaxed structure of ZrNb2H8. Values from VASP.

Calculated values
The value obtained for the density of states at the Fermi level is 3.2 states/eV per cell.

Cell and atoms, written as Quantum ESPRESSO input:
```
&SYSTEM
  ibrav = 0, nat = 11, ntyp = 3
/
ATOMIC_SPECIES
Zr 91.22 Zr.upf
Nb 92.91 Nb.upf
H 1.01 H.upf
CELL_PARAMETERS angstrom
-1.6802 2.2669 5.0534
1.6802 -2.2669 5.0534
1.6802 2.2669 -5.0534
ATOMIC_POSITIONS crystal
Zr 0.0000 0.0000 0.0000
Nb 0.3323 0.3323 0.0000
Nb 0.6677 0.6677 0.0000
H 0.1016 0.8343 0.2673
H 0.1456 0.6456 0.5000
H 0.2873 0.5000 0.7873
H 0.4330 0.1657 0.2673
H 0.5670 0.8343 0.7327
H 0.7127 0.5000 0.2127
H 0.8544 0.3544 0.5000
H 0.8984 0.1657 0.7327
```



11.
## ZrNbH2 (PBE-GGA)

Data for a relaxed structure of ZrNbH2. Values from VASP.

Calculated values
Its energy above the lowest structure with this stoichiometry is 66 meV/atom. The value obtained for the density of states at the Fermi level is 4.2 states/eV per cell.

Cell and atoms, written as Quantum ESPRESSO input:
```
&SYSTEM
  ibrav = 0, nat = 8, ntyp = 3
/
ATOMIC_SPECIES
Zr 91.22 Zr.upf
Nb 92.91 Nb.upf
H 1.01 H.upf
CELL_PARAMETERS angstrom
5.2319 0.0000 0.0000
0.0000 3.0537 0.0000
-0.1069 0.0000 5.8646
ATOMIC_POSITIONS crystal
Zr 0.0000 0.2143 0.2500
Zr 0.0000 0.7857 0.7500
Nb 0.5000 0.5000 0.0000
Nb 0.5000 0.5000 0.5000
H 0.1573 0.2869 0.9345
H 0.1573 0.7131 0.4345
H 0.8427 0.2869 0.5655
H 0.8427 0.7131 0.0655
```



12.
## Zr4NbH10 (PBE-GGA)

Data for a relaxed structure of Zr4NbH10. Values from VASP.

Calculated values
The value obtained for the density of states at the Fermi level is 6.7 states/eV per cell.

Cell and atoms, written as Quantum ESPRESSO input:
```
&SYSTEM
  ibrav = 0, nat = 15, ntyp = 3
/
ATOMIC_SPECIES
Zr 91.22 Zr.upf
Nb 92.91 Nb.upf
H 1.01 H.upf
CELL_PARAMETERS angstrom
-3.7449 3.7449 2.3901
3.7449 -3.7449 2.3901
3.7449 3.7449 -2.3901
ATOMIC_POSITIONS crystal
Zr 0.1033 0.2985 0.4017
Zr 0.2985 0.8967 0.1952
Zr 0.7015 0.1033 0.8048
Zr 0.8967 0.7015 0.5983
Nb 0.5000 0.5000 0.0000
H 0.0623 0.1614 0.7113
H 0.1614 0.4501 0.0991
H 0.2500 0.7500 0.5000
H 0.3510 0.0623 0.9009
H 0.4501 0.3510 0.2887
H 0.5499 0.6490 0.7113
H 0.6490 0.9377 0.0991
H 0.7500 0.2500 0.5000
H 0.8386 0.5499 0.9009
H 0.9377 0.8386 0.2887
```



Number 1: calculated volume 57.4 Å³ per cell, VASP energy -5.77 eV per atom. Number 2: calculated volume 57.0 Å³ per cell, VASP energy -5.70 eV per atom. Number 3: calculated volume 57.4 Å³ per cell, VASP energy -6.08 eV per atom. Number 4: calculated volume 79.3 Å³ per cell, VASP energy -6.46 eV per atom. Number 5: calculated volume 70.8 Å³ per cell, VASP energy -5.03 eV per atom. Number 6: calculated volume 80.4 Å³ per cell, VASP energy -6.55 eV per atom. Number 7: calculated volume 63.3 Å³ per cell, VASP energy -7.78 eV per atom. Number 8: calculated volume 86.3 Å³ per cell, VASP energy -7.49 eV per atom. Number 9: calculated volume 169.4 Å³ per cell, VASP energy -5.55 eV per atom. Number 10: calculated volume 77.0 Å³ per cell, VASP energy -5.19 eV per atom. Number 11: calculated volume 93.7 Å³ per cell, VASP energy -6.56 eV per atom. Number 12: calculated volume 134.1 Å³ per cell, VASP energy -5.69 eV per atom.